one.
VASP calculation (GGA-PBE) on a geometry-optimized Hf4InHg structure.

a = 4.3203 Å, b = 13.8546 Å, c = 4.3895 Å
α = 90.00°, β = 90.00°, γ = 90.00°
Fractional positions:
Hf (0.0000, 0.1706, 0.0000)
Hf (0.0000, 0.3295, 0.5000)
Hf (0.0000, 0.6705, 0.5000)
Hf (0.0000, 0.8294, 0.0000)
Hf (0.5000, 0.1705, 0.5000)
Hf (0.5000, 0.3293, 0.0000)
Hf (0.5000, 0.6706, 0.0000)
Hf (0.5000, 0.8295, 0.5000)
In (0.0000, 0.0000, 0.5000)
In (0.5000, 0.5000, 0.5000)
Hg (0.0000, 0.5000, 0.0000)
Hg (0.5000, 0.0000, 0.0000)

Calculated values
Space group   No. 65
Size of the total moment   0.00 μB/cell
Fermi-level density of states   0.774 states/eV/atom

---

two.
VASP calculation (GGA-PBE) on a geometry-optimized Hf4InHg structure.

a = 8.1973 Å, b = 8.1973 Å, c = 8.1973 Å
α = 33.56°, β = 33.56°, γ = 33.56°
Fractional positions:
Hf (0.1244, 0.1244, 0.1244)
Hf (0.3745, 0.3745, 0.3745)
Hf (0.6255, 0.6255, 0.6255)
Hf (0.8756, 0.8756, 0.8756)
In (0.5000, 0.5000, 0.5000)
Hg (0.0000, 0.0000, 0.0000)

Calculated values
Space group   No. 166
Size of the total moment   0.01 μB/cell
Fermi-level density of states   1.364 states/eV/atom

---

one (55.4 kJ/mol of atoms below the next structure)

---

one.
VASP calculation (GGA-PBE) on a geometry-optimized Hf4In3Hg structure.

a = 3.7810 Å, b = 3.7810 Å, c = 12.1755 Å
α = 90.00°, β = 90.00°, γ = 90.00°
Fractional positions:
Hf (0.0000, 0.0000, 0.1237)
Hf (0.0000, 0.0000, 0.3749)
Hf (0.0000, 0.0000, 0.6251)
Hf (0.0000, 0.0000, 0.8763)
In (0.5000, 0.5000, 0.2496)
In (0.5000, 0.5000, 0.5000)
In (0.5000, 0.5000, 0.7504)
Hg (0.5000, 0.5000, 0.0000)

Calculated values
Space group   No. 123
Size of the total moment   0.00 μB/cell
Fermi-level density of states   0.481 states/eV/atom

---

two.
VASP calculation (GGA-PBE) on a geometry-optimized Hf4In3Hg structure.

a = 8.8164 Å, b = 6.2861 Å, c = 6.3272 Å
α = 90.00°, β = 90.00°, γ = 90.00°
Fractional positions:
Hf (0.0000, 0.0000, 0.0000)
Hf (0.0000, 0.5000, 0.0000)
Hf (0.2500, 0.2485, 0.2500)
Hf (0.2500, 0.7515, 0.7500)
Hf (0.5000, 0.0000, 0.5000)
Hf (0.5000, 0.5000, 0.5000)
Hf (0.7500, 0.2485, 0.2500)
Hf (0.7500, 0.7515, 0.7500)
In (0.0000, 0.0000, 0.5000)
In (0.2500, 0.2522, 0.7500)
In (0.2500, 0.7478, 0.2500)
In (0.5000, 0.0000, 0.0000)
In (0.7500, 0.2522, 0.7500)
In (0.7500, 0.7478, 0.2500)
Hg (0.0000, 0.5000, 0.5000)
Hg (0.5000, 0.5000, 0.0000)

Calculated values
Space group   No. 53
Size of the total moment   0.00 μB/cell
Fermi-level density of states   0.996 states/eV/atom

---

two (5.2 kJ/mol of atoms below the next structure)

---

one.
VASP calculation (GGA-PBE) on a geometry-optimized HfMgInHg structure.

a = 4.2355 Å, b = 4.3925 Å, c = 4.5429 Å
α = 90.00°, β = 90.00°, γ = 90.00°
Fractional positions:
Hf (0.0000, 0.0000, 0.0000)
Mg (0.0000, 0.5000, 0.5000)
In (0.5000, 0.5000, 0.0000)
Hg (0.5000, 0.0000, 0.5000)

Calculated values
Space group   No. 47
Size of the total moment   0.00 μB/cell
Fermi-level density of states   0.489 states/eV/atom

---

two.
VASP calculation (GGA-PBE) on a geometry-optimized HfMgInHg structure.

a = 7.0390 Å, b = 7.0390 Å, c = 7.0390 Å
α = 90.00°, β = 90.00°, γ = 90.00°
Fractional positions:
Hf (0.0000, 0.0000, 0.0000)
Hf (0.0000, 0.5000, 0.5000)
Hf (0.5000, 0.0000, 0.5000)
Hf (0.5000, 0.5000, 0.0000)
Mg (0.0000, 0.0000, 0.5000)
Mg (0.0000, 0.5000, 0.0000)
Mg (0.5000, 0.0000, 0.0000)
Mg (0.5000, 0.5000, 0.5000)
In (0.2500, 0.2500, 0.7500)
In (0.2500, 0.7500, 0.2500)
In (0.7500, 0.2500, 0.2500)
In (0.7500, 0.7500, 0.7500)
Hg (0.2500, 0.2500, 0.2500)
Hg (0.2500, 0.7500, 0.7500)
Hg (0.7500, 0.2500, 0.7500)
Hg (0.7500, 0.7500, 0.2500)

Calculated values
Space group   No. 216
Size of the total moment   0.00 μB/cell
Fermi-level density of states   0.671 states/eV/atom

---

one (14.3 kJ/mol of atoms below the next structure)

---

one.
VASP calculation (GGA-PBE) on a geometry-optimized HfHgIr structure.

a = 4.6288 Å, b = 4.6288 Å, c = 6.2248 Å
α = 90.00°, β = 90.00°, γ = 120.00°
Fractional positions:
Hf (0.0000, 0.0000, 0.0000)
Hf (0.3333, 0.6667, 0.3280)
Hg (0.0000, 0.0000, 0.5091)
Hg (0.6667, 0.3333, 0.7036)
Ir (0.3333, 0.6667, 0.9213)
Ir (0.6667, 0.3333, 0.1853)

Calculated values
Space group   No. 156
Size of the total moment   0.00 μB/cell
Fermi-level density of states   0.336 states/eV/atom

---

two.
VASP calculation (GGA-PBE) on a geometry-optimized HfHgIr structure.

a = 3.5085 Å, b = 3.5085 Å, c = 9.1751 Å
α = 90.00°, β = 90.00°, γ = 90.00°
Fractional positions:
Hf (0.0000, 0.0000, 0.0000)
Hf (0.5000, 0.5000, 0.5000)
Hg (0.0000, 0.0000, 0.6864)
Hg (0.5000, 0.5000, 0.1864)
Ir (0.0000, 0.0000, 0.3680)
Ir (0.5000, 0.5000, 0.8680)

Calculated values
Space group   No. 107
Size of the total moment   0.00 μB/cell
Fermi-level density of states   0.605 states/eV/atom

---

three.
VASP calculation (GGA-PBE) on a geometry-optimized HfHgIr structure.

a = 4.9442 Å, b = 4.9902 Å, c = 9.1262 Å
α = 90.00°, β = 90.00°, γ = 90.00°
Fractional positions:
Hf (0.2500, 0.2328, 0.0000)
Hf (0.2500, 0.7328, 0.5000)
Hf (0.7500, 0.2672, 0.5000)
Hf (0.7500, 0.7672, 0.0000)
Hg (0.2500, 0.2333, 0.6858)
Hg (0.2500, 0.7333, 0.1858)
Hg (0.7500, 0.2667, 0.1858)
Hg (0.7500, 0.7667, 0.6858)
Ir (0.2500, 0.2185, 0.3668)
Ir (0.2500, 0.7185, 0.8668)
Ir (0.7500, 0.2815, 0.8668)
Ir (0.7500, 0.7815, 0.3668)

Calculated values
Space group   No. 40
Size of the total moment   0.00 μB/cell
Fermi-level density of states   0.240 states/eV/atom

---

three (0.6 kJ/mol of atoms below the next structure)

---

one.
VASP calculation (GGA-PBE) on a geometry-optimized Hf2HgIr2 structure.

a = 7.8042 Å, b = 7.8042 Å, c = 3.1039 Å
α = 90.00°, β = 90.00°, γ = 90.00°
Fractional positions:
Hf (0.1573, 0.3427, 0.0000)
Hf (0.3427, 0.8427, 0.0000)
Hf (0.6573, 0.1573, 0.0000)
Hf (0.8427, 0.6573, 0.0000)
Hg (0.0000, 0.0000, 0.5000)
Hg (0.5000, 0.5000, 0.5000)
Ir (0.1356, 0.6356, 0.5000)
Ir (0.3644, 0.1356, 0.5000)
Ir (0.6356, 0.8644, 0.5000)
Ir (0.8644, 0.3644, 0.5000)

Calculated values
Space group   No. 127
Size of the total moment   0.00 μB/cell
Fermi-level density of states   0.633 states/eV/atom

---

two.
VASP calculation (GGA-PBE) on a geometry-optimized Hf2HgIr2 structure.

a = 7.9204 Å, b = 7.9204 Å, c = 3.0930 Å
α = 90.00°, β = 90.00°, γ = 90.00°
Fractional positions:
Hf (0.1500, 0.3500, 0.0000)
Hf (0.3500, 0.8500, 0.0000)
Hf (0.6500, 0.1500, 0.0000)
Hf (0.8500, 0.6500, 0.0000)
Hg (0.0000, 0.0000, 0.0000)
Hg (0.5000, 0.5000, 0.0000)
Ir (0.1373, 0.6373, 0.5000)
Ir (0.3627, 0.1373, 0.5000)
Ir (0.6373, 0.8627, 0.5000)
Ir (0.8627, 0.3627, 0.5000)

Calculated values
Space group   No. 127
Size of the total moment   0.00 μB/cell
Fermi-level density of states   0.694 states/eV/atom

---

one (15.9 kJ/mol of atoms below the next structure)

---

one.
VASP calculation (GGA-PBE) on a geometry-optimized K2HfHg2 structure.

a = 4.0198 Å, b = 4.0198 Å, c = 23.5734 Å
α = 90.00°, β = 90.00°, γ = 90.00°
Fractional positions:
K (0.0000, 0.0000, 0.1169)
K (0.0000, 0.0000, 0.8831)
K (0.5000, 0.5000, 0.3831)
K (0.5000, 0.5000, 0.6169)
Hf (0.0000, 0.0000, 0.5000)
Hf (0.5000, 0.5000, 0.0000)
Hg (0.0000, 0.5000, 0.2500)
Hg (0.0000, 0.5000, 0.7500)
Hg (0.5000, 0.0000, 0.2500)
Hg (0.5000, 0.0000, 0.7500)

Calculated values
Space group   No. 139
Size of the total moment   4.91 μB/cell
Fermi-level density of states   0.889 states/eV/atom

---

two.
VASP calculation (GGA-PBE) on a geometry-optimized K2HfHg2 structure.

a = 9.8122 Å, b = 9.8122 Å, c = 3.1634 Å
α = 90.00°, β = 90.00°, γ = 90.00°
Fractional positions:
K (0.1280, 0.3720, 0.0000)
K (0.3720, 0.8720, 0.0000)
K (0.6280, 0.1280, 0.0000)
K (0.8720, 0.6280, 0.0000)
Hf (0.0000, 0.0000, 0.0000)
Hf (0.5000, 0.5000, 0.0000)
Hg (0.1739, 0.6739, 0.5000)
Hg (0.3261, 0.1739, 0.5000)
Hg (0.6739, 0.8261, 0.5000)
Hg (0.8261, 0.3261, 0.5000)

Calculated values
Space group   No. 127
Size of the total moment   0.00 μB/cell
Fermi-level density of states   0.850 states/eV/atom

---

two (11.1 kJ/mol of atoms below the next structure)

---

one.
VASP calculation (GGA-PBE) on a geometry-optimized K2SrHfHg structure.

a = 7.0108 Å, b = 7.0108 Å, c = 5.8406 Å
α = 90.00°, β = 90.00°, γ = 90.00°
Fractional positions:
K (0.0000, 0.5000, 0.0000)
K (0.5000, 0.0000, 0.0000)
Sr (0.0000, 0.0000, 0.0000)
Hf (0.0000, 0.0000, 0.5000)
Hg (0.5000, 0.5000, 0.5000)

Calculated values
Space group   No. 123
Size of the total moment   0.00 μB/cell
Fermi-level density of states   1.898 states/eV/atom

---

two.
VASP calculation (GGA-PBE) on a geometry-optimized K2SrHfHg structure.

a = 6.3796 Å, b = 6.3796 Å, c = 5.5803 Å
α = 90.00°, β = 90.00°, γ = 90.00°
Fractional positions:
K (0.0000, 0.5000, 0.0000)
K (0.5000, 0.0000, 0.0000)
Sr (0.0000, 0.0000, 0.5000)
Hf (0.5000, 0.5000, 0.5000)
Hg (0.5000, 0.5000, 0.0000)

Calculated values
Space group   No. 123
Size of the total moment   0.98 μB/cell
Fermi-level density of states   1.133 states/eV/atom

---

two (64.5 kJ/mol of atoms below the next structure)

---

one.
VASP calculation (GGA-PBE) on a geometry-optimized La3HfHg structure.

a = 5.8702 Å, b = 5.8702 Å, c = 5.8702 Å
α = 90.00°, β = 90.00°, γ = 90.00°
Fractional positions:
La (0.0000, 0.0000, 0.5000)
La (0.0000, 0.5000, 0.0000)
La (0.5000, 0.0000, 0.0000)
Hf (0.5000, 0.5000, 0.5000)
Hg (0.0000, 0.0000, 0.0000)

Calculated values
Space group   No. 221
Size of the total moment   1.81 μB/cell
Fermi-level density of states   2.561 states/eV/atom

---

two.
VASP calculation (GGA-PBE) on a geometry-optimized La3HfHg structure.

a = 5.7460 Å, b = 5.7460 Å, c = 5.7460 Å
α = 90.00°, β = 90.00°, γ = 90.00°
Fractional positions:
La (0.0000, 0.0000, 0.5000)
La (0.0000, 0.5000, 0.0000)
La (0.5000, 0.0000, 0.0000)
Hf (0.0000, 0.0000, 0.0000)
Hg (0.5000, 0.5000, 0.5000)

Calculated values
Space group   No. 221
Size of the total moment   0.00 μB/cell
Fermi-level density of states   1.113 states/eV/atom

---

two (25.1 kJ/mol of atoms below the next structure)

---

one.
VASP calculation (GGA-PBE) on a geometry-optimized LaHfHg3 structure.

a = 5.3827 Å, b = 5.3827 Å, c = 5.3827 Å
α = 90.00°, β = 90.00°, γ = 90.00°
Fractional positions:
La (0.0000, 0.0000, 0.0000)
Hf (0.5000, 0.5000, 0.5000)
Hg (0.0000, 0.5000, 0.5000)
Hg (0.5000, 0.0000, 0.5000)
Hg (0.5000, 0.5000, 0.0000)

Calculated values
Space group   No. 221
Size of the total moment   0.00 μB/cell
Fermi-level density of states   1.314 states/eV/atom

---

two.
VASP calculation (GGA-PBE) on a geometry-optimized LaHfHg3 structure.

a = 5.7048 Å, b = 5.7048 Å, c = 5.7048 Å
α = 90.00°, β = 90.00°, γ = 90.00°
Fractional positions:
La (0.0000, 0.0000, 0.0000)
Hf (0.5000, 0.5000, 0.5000)
Hg (0.0000, 0.0000, 0.5000)
Hg (0.0000, 0.5000, 0.0000)
Hg (0.5000, 0.0000, 0.0000)

Calculated values
Space group   No. 221
Size of the total moment   0.00 μB/cell
Fermi-level density of states   1.696 states/eV/atom

---

one (90.9 kJ/mol of atoms below the next structure)

---

one.
VASP calculation (GGA-PBE) on a geometry-optimized Li2Hf2Hg structure.

a = 6.2691 Å, b = 6.2691 Å, c = 4.6476 Å
α = 90.00°, β = 90.00°, γ = 90.00°
Fractional positions:
Li (0.1266, 0.3734, 0.0000)
Li (0.3734, 0.8734, 0.0000)
Li (0.6266, 0.1266, 0.0000)
Li (0.8734, 0.6266, 0.0000)
Hf (0.1767, 0.6767, 0.5000)
Hf (0.3233, 0.1767, 0.5000)
Hf (0.6767, 0.8233, 0.5000)
Hf (0.8233, 0.3233, 0.5000)
Hg (0.0000, 0.0000, 0.0000)
Hg (0.5000, 0.5000, 0.0000)

Calculated values
Space group   No. 127
Size of the total moment   0.00 μB/cell
Fermi-level density of states   0.646 states/eV/atom

---

two.
VASP calculation (GGA-PBE) on a geometry-optimized Li2Hf2Hg structure.

a = 4.0260 Å, b = 4.0260 Å, c = 12.0957 Å
α = 90.00°, β = 90.00°, γ = 90.00°
Fractional positions:
Li (0.0000, 0.0000, 0.0835)
Li (0.0000, 0.0000, 0.9165)
Li (0.5000, 0.5000, 0.4165)
Li (0.5000, 0.5000, 0.5835)
Hf (0.0000, 0.5000, 0.2500)
Hf (0.0000, 0.5000, 0.7500)
Hf (0.5000, 0.0000, 0.2500)
Hf (0.5000, 0.0000, 0.7500)
Hg (0.0000, 0.0000, 0.5000)
Hg (0.5000, 0.5000, 0.0000)

Calculated values
Space group   No. 139
Size of the total moment   0.00 μB/cell
Fermi-level density of states   0.613 states/eV/atom

---

one (24.8 kJ/mol of atoms below the next structure)

---

one.
VASP calculation (GGA-PBE) on a geometry-optimized Li2HfHg2 structure.

a = 4.7742 Å, b = 4.7742 Å, c = 8.2225 Å
α = 90.00°, β = 90.00°, γ = 90.00°
Fractional positions:
Li (0.0000, 0.0000, 0.1322)
Li (0.0000, 0.0000, 0.8678)
Li (0.5000, 0.5000, 0.3678)
Li (0.5000, 0.5000, 0.6322)
Hf (0.0000, 0.0000, 0.5000)
Hf (0.5000, 0.5000, 0.0000)
Hg (0.0000, 0.5000, 0.2500)
Hg (0.0000, 0.5000, 0.7500)
Hg (0.5000, 0.0000, 0.2500)
Hg (0.5000, 0.0000, 0.7500)

Calculated values
Space group   No. 139
Size of the total moment   0.00 μB/cell
Fermi-level density of states   0.610 states/eV/atom

---

two.
VASP calculation (GGA-PBE) on a geometry-optimized Li2HfHg2 structure.

a = 7.7788 Å, b = 7.7788 Å, c = 2.9894 Å
α = 90.00°, β = 90.00°, γ = 90.00°
Fractional positions:
Li (0.1159, 0.3841, 0.0000)
Li (0.3841, 0.8841, 0.0000)
Li (0.6159, 0.1159, 0.0000)
Li (0.8841, 0.6159, 0.0000)
Hf (0.0000, 0.0000, 0.0000)
Hf (0.5000, 0.5000, 0.0000)
Hg (0.1836, 0.6836, 0.5000)
Hg (0.3164, 0.1836, 0.5000)
Hg (0.6836, 0.8164, 0.5000)
Hg (0.8164, 0.3164, 0.5000)

Calculated values
Space group   No. 127
Size of the total moment   0.00 μB/cell
Fermi-level density of states   0.565 states/eV/atom

---

two (19.5 kJ/mol of atoms below the next structure)

---

one.
VASP calculation (GGA-PBE) on a geometry-optimized LiHfHgPt2 structure.

a = 4.3071 Å, b = 4.3071 Å, c = 4.7132 Å
α = 90.00°, β = 90.00°, γ = 90.00°
Fractional positions:
Li (0.0000, 0.0000, 0.0000)
Hf (0.0000, 0.0000, 0.5000)
Hg (0.5000, 0.5000, 0.5000)
Pt (0.0000, 0.5000, 0.0000)
Pt (0.5000, 0.0000, 0.0000)

Calculated values
Space group   No. 123
Size of the total moment   0.00 μB/cell
Fermi-level density of states   0.759 states/eV/atom

---

two.
VASP calculation (GGA-PBE) on a geometry-optimized LiHfHgPt2 structure.

a = 5.0443 Å, b = 5.0443 Å, c = 4.1165 Å
α = 90.00°, β = 90.00°, γ = 90.00°
Fractional positions:
Li (0.0000, 0.0000, 0.0000)
Hf (0.5000, 0.5000, 0.0000)
Hg (0.0000, 0.0000, 0.5000)
Pt (0.0000, 0.5000, 0.5000)
Pt (0.5000, 0.0000, 0.5000)

Calculated values
Space group   No. 123
Size of the total moment   0.00 μB/cell
Fermi-level density of states   0.642 states/eV/atom

---

one (16.6 kJ/mol of atoms below the next structure)